Compound: Be2AlF
Source: the Alexandria database
Functional: GGA-PBE
Structure: optimized geometry

## Properties
ΔE to the lowest computed polymorph = 51.0 kJ per mole of atoms
Total magnetization = 0.00 μB/f.u.
SG = Fm-3m, No. 225
Uncorrected formation energy = 0.34 eV per atom
Total DFT energy (no corrections) = -2.929 eV per atom
DOS at the Fermi energy = 0.57 states/eV per atom

a b c (Å): 4.1947 4.1947 4.1947
angles (deg): 60.00 60.00 60.00
Fractional coordinates of all 4 atoms:
Be 0.2500 0.2500 0.2500
Be 0.7500 0.7500 0.7500
Al 0.0000 0.0000 0.0000
F 0.5000 0.5000 0.5000

***

Compound: K2AlW
Source: the Alexandria database
Functional: GGA-PBE
Structure: optimized geometry

## Properties
Total magnetization = 0.00 μB/f.u.
SG = Cmmm, No. 65
Total DFT energy (no corrections) = -3.584 eV per atom
ΔH_f (0 K) = 1.1387 eV per atom
DOS at the Fermi energy = 0.65 states/eV per atom

a b c (Å): 2.8709 2.8709 12.3608
angles (deg): 90.00 90.00 111.52
Fractional coordinates of all 4 atoms:
K 0.0000 0.0000 0.2468
K 0.0000 0.0000 0.7532
Al 0.5000 0.5000 0.5000
W 0.5000 0.5000 0.0000

***

Compound: ZnCr2Fe
Source: the Alexandria database
Functional: GGA-PBE
Structure: optimized geometry

## Properties
Total magnetization = 0.55 μB/f.u.
SG = P4mm, No. 99
Total DFT energy (no corrections) = -7.046 eV per atom
ΔH_f (0 K) = 0.2002 eV per atom
DOS at the Fermi energy = 1.02 states/eV per atom

a b c (Å): 2.5332 2.5332 7.5006
angles (deg): 90.00 90.00 90.00
Fractional coordinates of all 4 atoms:
Zn 0.0000 0.0000 0.0000
Cr 0.0000 0.0000 0.5225
Cr 0.5000 0.5000 0.2681
Fe 0.5000 0.5000 0.7462

***

Compound: SrCa5Cd2
Source: the Alexandria database
Functional: GGA-PBE
Structure: optimized geometry

## Properties
Total magnetization = 0.00 μB/f.u.
SG = Immm, No. 71
Total DFT energy (no corrections) = -1.810 eV per atom
ΔH_f (0 K) = -0.1203 eV per atom
DOS at the Fermi energy = 1.18 states/eV per atom

a b c (Å): 8.4972 8.4972 8.4972
angles (deg): 148.02 106.26 82.63
Fractional coordinates of all 8 atoms:
Sr 0.0000 0.0000 0.0000
Ca 0.1526 0.3469 0.8058
Ca 0.4589 0.6531 0.8058
Ca 0.5000 0.0000 0.5000
Ca 0.5411 0.3469 0.1942
Ca 0.8474 0.6531 0.1942
Cd 0.2356 0.7356 0.5000
Cd 0.7644 0.2644 0.5000

***

Compound: CaBPAu2
Source: the Alexandria database
Functional: GGA-PBE
Structure: optimized geometry

## Properties
Total magnetization = 0.01 μB/f.u.
SG = P4/mmm, No. 123
Total DFT energy (no corrections) = -3.483 eV per atom
ΔH_f (0 K) = 0.6454 eV per atom
DOS at the Fermi energy = 0.68 states/eV per atom

a b c (Å): 4.6645 4.6645 5.4631
angles (deg): 90.00 90.00 90.00
Fractional coordinates of all 5 atoms:
Ca 0.0000 0.0000 0.0000
B 0.5000 0.5000 0.0000
P 0.0000 0.0000 0.5000
Au 0.0000 0.5000 0.5000
Au 0.5000 0.0000 0.5000

***

Compound: La2SmTm3As6
Source: the Alexandria database
Functional: GGA-PBE
Structure: optimized geometry

## Properties
Total magnetization = 0.00 μB/f.u.
SG = C2/m, No. 12
Total DFT energy (no corrections) = -6.173 eV per atom
ΔH_f (0 K) = -1.5161 eV per atom
DOS at the Fermi energy = 0.14 states/eV per atom

a b c (Å): 9.3720 9.3720 8.3824
angles (deg): 102.78 102.78 25.89
Fractional coordinates of all 12 atoms:
La 0.1658 0.1658 0.3317
La 0.8342 0.8342 0.6683
Sm 0.5000 0.5000 0.0000
Tm 0.1667 0.1667 0.8339
Tm 0.5000 0.5000 0.5000
Tm 0.8333 0.8333 0.1661
As 0.0040 0.0040 0.7461
As 0.3316 0.3316 0.9276
As 0.3372 0.3372 0.4072
As 0.6628 0.6628 0.5928
As 0.6684 0.6684 0.0724
As 0.9960 0.9960 0.2539

***

Compound: Ac2Sn3Bi3
Source: the Alexandria database
Functional: GGA-PBE
Structure: optimized geometry

## Properties
Total magnetization = 0.00 μB/f.u.
SG = Pmmm, No. 47
Total DFT energy (no corrections) = -4.487 eV per atom
ΔH_f (0 K) = -0.5039 eV per atom
DOS at the Fermi energy = 0.63 states/eV per atom

a b c (Å): 4.9813 4.9996 10.1339
angles (deg): 90.00 90.00 90.00
Fractional coordinates of all 8 atoms:
Ac 0.0000 0.0000 0.2477
Ac 0.0000 0.0000 0.7523
Sn 0.0000 0.5000 0.0000
Sn 0.0000 0.5000 0.5000
Sn 0.5000 0.0000 0.0000
Bi 0.5000 0.0000 0.5000
Bi 0.5000 0.5000 0.2420
Bi 0.5000 0.5000 0.7580

***

Compound: Y2ReSe
Source: the Alexandria database
Functional: GGA-PBE
Structure: optimized geometry

## Properties
Total magnetization = 0.00 μB/f.u.
SG = P2/m, No. 10
Uncorrected formation energy = -0.55 eV per atom
Total DFT energy (no corrections) = -7.766 eV per atom
DOS at the Fermi energy = 0.81 states/eV per atom

a b c (Å): 3.5541 3.5511 6.9633
angles (deg): 90.00 90.06 90.00
Fractional coordinates of all 4 atoms:
Y 0.0003 0.0000 0.2387
Y 0.9997 0.0000 0.7613
Re 0.5000 0.5000 0.0000
Se 0.5000 0.5000 0.5000

***

Compound: TmHfTl
Source: the Alexandria database
Functional: GGA-PBE
Structure: optimized geometry

## Properties
ΔE to the lowest computed polymorph = 6.0 kJ per mole of atoms
Total magnetization = 0.00 μB/f.u.
SG = P4/nmm, No. 129
Total DFT energy (no corrections) = -5.596 eV per atom
ΔH_f (0 K) = 0.0008 eV per atom
DOS at the Fermi energy = 0.77 states/eV per atom

a b c (Å): 3.7975 3.7975 10.9941
angles (deg): 90.00 90.00 90.00
Fractional coordinates of all 6 atoms:
Tm 0.2500 0.2500 0.2299
Tm 0.7500 0.7500 0.7701
Hf 0.2500 0.2500 0.9407
Hf 0.7500 0.7500 0.0593
Tl 0.2500 0.2500 0.5825
Tl 0.7500 0.7500 0.4175

***

Compound: LaPb2Br
Source: the Alexandria database
Functional: GGA-PBE
Structure: optimized geometry

## Properties
ΔE to the lowest computed polymorph = 34.9 kJ per mole of atoms
Total magnetization = 0.00 μB/f.u.
SG = P4/mmm, No. 123
Uncorrected formation energy = -0.43 eV per atom
Total DFT energy (no corrections) = -3.938 eV per atom
DOS at the Fermi energy = 0.62 states/eV per atom

a b c (Å): 5.7687 5.7687 3.7982
angles (deg): 90.00 90.00 90.00
Fractional coordinates of all 4 atoms:
La 0.0000 0.0000 0.0000
Pb 0.0000 0.5000 0.5000
Pb 0.5000 0.0000 0.5000
Br 0.5000 0.5000 0.0000

***

Compound: SrMg2Pb
Source: the Alexandria database
Functional: GGA-PBE
Structure: optimized geometry

## Properties
Total magnetization = 0.00 μB/f.u.
SG = P4/nmm, No. 129
Total DFT energy (no corrections) = -2.388 eV per atom
ΔH_f (0 K) = -0.2433 eV per atom
DOS at the Fermi energy = 0.24 states/eV per atom

a b c (Å): 4.6869 4.6869 11.3258
angles (deg): 90.00 90.00 90.00
Fractional coordinates of all 8 atoms:
Sr 0.2500 0.2500 0.2447
Sr 0.7500 0.7500 0.7553
Mg 0.2500 0.2500 0.9410
Mg 0.2500 0.7500 0.5000
Mg 0.7500 0.2500 0.5000
Mg 0.7500 0.7500 0.0590
Pb 0.2500 0.2500 0.6674
Pb 0.7500 0.7500 0.3326

***

Compound: Zr2NiGeH
Source: the Alexandria database
Functional: GGA-PBE
Structure: optimized geometry

## Properties
Total magnetization = 0.00 μB/f.u.
SG = P4/mmm, No. 123
Total DFT energy (no corrections) = -6.648 eV per atom
DOS at the Fermi energy = 0.87 states/eV per atom

a b c (Å): 4.3619 4.3619 3.7933
angles (deg): 90.00 90.00 90.00
Fractional coordinates of all 5 atoms:
Zr 0.0000 0.5000 0.0000
Zr 0.5000 0.0000 0.0000
Ni 0.0000 0.0000 0.5000
Ge 0.5000 0.5000 0.5000
H 0.0000 0.0000 0.0000